Record 1
Crystalline Sm3Ga7Ru2 at its relaxed geometry. Source: Alexandria via LeMat-Bulk, functional PBE.

N(E_F) in states/eV per atom: 0.571
E in eV for the cell shown: -59.44
ΔH_f (0 K) in eV/atom: -0.462

a b c (Å): 11.7214 11.7214 4.7026
angles (deg): 90.00 90.00 156.94
Last column: nearest neighbours and their distance in Å.
Atoms (fractional coordinates):
Sm1 0.0000 0.0000 0.0000  12 Ga 3.18-3.32
Sm2 0.1846 0.8154 0.0000  10 Ga 3.11-3.40
Sm3 0.8154 0.1846 0.0000  10 Ga 3.11-3.40
Ga1 0.0959 0.9041 0.5000  2 Ru 2.35
Ga2 0.2825 0.7175 0.5000  1 Ru 2.58, 2 Ga 2.78
Ga3 0.4061 0.5939 0.0000  2 Ru 2.37
Ga4 0.5000 0.5000 0.5000  2 Ru 2.42
Ga5 0.5939 0.4061 0.0000  2 Ru 2.37
Ga6 0.7175 0.2825 0.5000  1 Ru 2.58, 2 Ga 2.78
Ga7 0.9041 0.0959 0.5000  2 Ru 2.35
Ru1 0.3946 0.6054 0.5000  6 Ga 2.35-2.58
Ru2 0.6054 0.3946 0.5000  6 Ga 2.35-2.58

=====

Record 2
Crystalline Sm6GaRu2 at its relaxed geometry. Source: Alexandria via LeMat-Bulk, functional PBE.

N(E_F) in states/eV per atom: 0.944
E in eV for the cell shown: -51.94
ΔH_f (0 K) in eV/atom: -0.228

a b c (Å): 5.6656 5.6656 9.1628
angles (deg): 99.63 99.63 54.27
Last column: nearest neighbours and their distance in Å.
Atoms (fractional coordinates):
Sm1 0.0380 0.0380 0.3381  1 Ga 3.05, 2 Ru 3.11, 4 Sm 3.12-3.30
Sm2 0.2899 0.2899 0.6654  1 Ru 2.78
Sm3 0.3427 0.3427 0.1075  1 Ru 2.64
Sm4 0.6573 0.6573 0.8925  1 Ru 2.64
Sm5 0.7101 0.7101 0.3346  1 Ru 2.78
Sm6 0.9620 0.9620 0.6619  1 Ga 3.05, 2 Ru 3.11, 4 Sm 3.12-3.30
Ga1 0.0000 0.0000 0.0000  8 Sm 3.05-3.41
Ru1 0.3860 0.3860 0.4002  2 Sm 2.64-2.78, 1 Ru 2.66
Ru2 0.6140 0.6140 0.5998  2 Sm 2.64-2.78, 1 Ru 2.66

=====

Record 3
Crystalline Sm2Ga5Ru at its relaxed geometry. Source: Alexandria via LeMat-Bulk, functional PBE.

N(E_F) in states/eV per atom: 0.511
E in eV for the cell shown: -37.46
ΔH_f (0 K) in eV/atom: -0.452

a b c (Å): 6.1918 6.1918 6.1918
angles (deg): 120.29 120.29 89.49
Last column: nearest neighbours and their distance in Å.
Atoms (fractional coordinates):
Sm1 0.0000 0.5000 0.5000  10 Ga 3.09-3.13
Sm2 0.5000 0.0000 0.5000  10 Ga 3.09-3.13
Ga1 0.0180 0.0180 0.0000  1 Ru 2.43
Ga2 0.0328 0.0328 0.5717  1 Ru 2.49, 3 Ga 2.64-2.75
Ga3 0.0328 0.4611 0.0000  1 Ru 2.49, 3 Ga 2.64-2.75
Ga4 0.4611 0.0328 0.0000  1 Ru 2.49, 3 Ga 2.64-2.75
Ga5 0.4611 0.4611 0.4283  1 Ru 2.49, 3 Ga 2.64-2.75
Ru1 0.7415 0.7415 0.0000  5 Ga 2.43-2.49

=====

Record 4
Crystalline SmGa2Ru2 at its relaxed geometry. Source: Alexandria via LeMat-Bulk, functional PBE.

N(E_F) in states/eV per atom: 0.680
E in eV for the cell shown: -62.76
ΔH_f (0 K) in eV/atom: -0.411

a b c (Å): 11.5525 11.5525 11.5525
angles (deg): 159.81 159.81 28.70
Last column: nearest neighbours and their distance in Å.
Atoms (fractional coordinates):
Sm1 0.1288 0.1288 0.0000  4 Ga 3.09, 8 Ru 3.18-3.38
Sm2 0.8712 0.8712 0.0000  4 Ga 3.09, 8 Ru 3.18-3.38
Ga1 0.0000 0.5000 0.5000  4 Ru 2.52
Ga2 0.3192 0.3192 0.0000  5 Ru 2.55
Ga3 0.5000 0.0000 0.5000  4 Ru 2.52
Ga4 0.6808 0.6808 0.0000  5 Ru 2.55
Ru1 0.2500 0.7500 0.5000  4 Ga 2.55
Ru2 0.4329 0.4329 0.0000  5 Ga 2.52-2.55
Ru3 0.5671 0.5671 0.0000  5 Ga 2.52-2.55
Ru4 0.7500 0.2500 0.5000  4 Ga 2.55

=====

Record 5
Crystalline Sm7Ga2Ru2 at its relaxed geometry. Source: Alexandria via LeMat-Bulk, functional PBE.

N(E_F) in states/eV per atom: 0.759
E in eV for the cell shown: -60.29
ΔH_f (0 K) in eV/atom: -0.241

a b c (Å): 6.8091 6.8091 7.0894
angles (deg): 90.00 90.00 109.87
Last column: nearest neighbours and their distance in Å.
Atoms (fractional coordinates):
Sm1 0.0000 0.0000 0.0000  2 Ru 3.36
Sm2 0.0000 0.5000 0.2621  2 Ru 2.76
Sm3 0.0000 0.5000 0.7379  2 Ru 2.76
Sm4 0.5000 0.0000 0.2621  2 Ru 2.76
Sm5 0.5000 0.0000 0.7379  2 Ru 2.76
Sm6 0.5000 0.5000 0.2559  2 Ru 2.86, 2 Ga 3.15
Sm7 0.5000 0.5000 0.7441  2 Ru 2.86, 2 Ga 3.15
Ga1 0.1639 0.1639 0.5000  1 Ga 2.56
Ga2 0.8361 0.8361 0.5000  1 Ga 2.56
Ru1 0.3011 0.6989 0.0000  6 Sm 2.76-2.86
Ru2 0.6989 0.3011 0.0000  6 Sm 2.76-2.86

=====

Record 6
Crystalline Sm4GaRu2 at its relaxed geometry. Source: Alexandria via LeMat-Bulk, functional PBE.

N(E_F) in states/eV per atom: 0.741
E in eV for the cell shown: -84.63
ΔH_f (0 K) in eV/atom: -0.265

a b c (Å): 7.0987 7.5180 7.5664
angles (deg): 104.59 106.39 104.55
Last column: nearest neighbours and their distance in Å.
Atoms (fractional coordinates):
Sm1 0.0000 0.0000 0.0000  3 Ru 2.96-3.32, 1 Ga 3.14
Sm2 0.0018 0.5183 0.9976  2 Ru 2.75-2.89
Sm3 0.1223 0.4165 0.4514  3 Ru 2.86-2.92, 1 Ga 3.04
Sm4 0.3678 0.2988 0.8496  4 Ru 2.85-3.09, 1 Ga 3.02
Sm5 0.5431 0.9403 0.6308  2 Ru 2.78-2.82, 1 Ga 3.03
Sm6 0.5830 0.0391 0.2021  3 Ru 2.85-2.95, 2 Ga 2.97-3.16
Sm7 0.6606 0.4680 0.5624  4 Ru 2.86-3.20, 1 Ga 3.07
Sm8 0.9704 0.8520 0.4431  3 Ru 2.79-2.91
Ga1 0.2526 0.7691 0.8193  1 Ru 2.70, 1 Sm 2.97
Ga2 0.4760 0.6178 0.2353  2 Ru 2.63-2.70
Ru1 0.3042 0.1160 0.4132  7 Sm 2.79-3.09
Ru2 0.6115 0.6994 0.9550  2 Ga 2.70, 3 Sm 2.85-2.96
Ru3 0.7467 0.4398 0.2024  1 Ga 2.63, 6 Sm 2.75-2.94
Ru4 0.9145 0.1942 0.6502  5 Sm 2.78-2.94

=====

Record 7
Crystalline Sm6GaRu2 at its relaxed geometry. Source: Alexandria via LeMat-Bulk, functional PBE.

N(E_F) in states/eV per atom: 0.841
E in eV for the cell shown: -105.47
ΔH_f (0 K) in eV/atom: -0.316

a b c (Å): 8.5634 8.5634 8.5634
angles (deg): 112.68 111.44 104.41
Last column: nearest neighbours and their distance in Å.
Atoms (fractional coordinates):
Sm1 0.0445 0.2407 0.8038  1 Ru 2.80
Sm2 0.1799 0.2812 0.4611  3 Ru 2.99-3.01, 1 Ga 3.18
Sm3 0.1799 0.7188 0.8988  3 Ru 2.99-3.01, 1 Ga 3.18
Sm4 0.3300 0.0183 0.6883  3 Ru 2.79-3.06
Sm5 0.3300 0.6416 0.3117  3 Ru 2.79-3.06
Sm6 0.4368 0.2407 0.1962  1 Ru 2.80
Sm7 0.5632 0.7593 0.8038  1 Ru 2.80
Sm8 0.6700 0.3584 0.6883  3 Ru 2.79-3.06
Sm9 0.6700 0.9817 0.3117  3 Ru 2.79-3.06
Sm10 0.8201 0.2812 0.1012  3 Ru 2.99-3.01, 1 Ga 3.18
Sm11 0.8201 0.7188 0.5389  3 Ru 2.99-3.01, 1 Ga 3.18
Sm12 0.9555 0.7593 0.1962  1 Ru 2.80
Ga1 0.0000 0.0000 0.0000  2 Ru 3.09, 8 Sm 3.16-3.18
Ga2 0.5000 0.5000 0.0000  8 Sm 3.32-3.46
Ru1 0.1264 0.6264 0.5000  1 Ru 2.65, 2 Sm 2.79
Ru2 0.3202 0.0000 0.3202  8 Sm 2.80-3.06, 1 Ga 3.09
Ru3 0.6798 0.0000 0.6798  8 Sm 2.80-3.06, 1 Ga 3.09
Ru4 0.8736 0.3736 0.5000  1 Ru 2.65, 2 Sm 2.79

=====

Record 8
Crystalline SmGa2Ru at its relaxed geometry. Source: Alexandria via LeMat-Bulk, functional PBE.

N(E_F) in states/eV per atom: 0.736
E in eV for the cell shown: -20.55
ΔH_f (0 K) in eV/atom: -0.125

a b c (Å): 8.7437 8.7437 8.7437
angles (deg): 21.55 21.55 21.55
Last column: nearest neighbours and their distance in Å.
Atoms (fractional coordinates):
Sm1 0.0000 0.0000 0.0000  6 Ga 3.16, 6 Sm 3.27
Ga1 0.2344 0.2344 0.2344  3 Ru 2.56
Ga2 0.7656 0.7656 0.7656  3 Ru 2.56
Ru1 0.5000 0.5000 0.5000  6 Ga 2.56

=====

Record 9
Crystalline SmGa3Ru3 at its relaxed geometry. Source: Alexandria via LeMat-Bulk, functional PBE.

N(E_F) in states/eV per atom: 1.111
E in eV for the cell shown: -69.99
ΔH_f (0 K) in eV/atom: 0.948

a b c (Å): 8.2997 8.2997 8.2997
angles (deg): 60.00 60.00 60.00
Last column: nearest neighbours and their distance in Å.
Atoms (fractional coordinates):
Sm1 0.2500 0.2500 0.2500  12 Ga 4.30, 12 Ru 4.32
Sm2 0.7500 0.7500 0.7500  12 Ga 4.30, 12 Ru 4.32
Ga1 0.1543 0.1543 0.8457  1 Ru 2.31, 4 Ga 2.56
Ga2 0.1543 0.8457 0.1543  1 Ru 2.31, 4 Ga 2.56
Ga3 0.1543 0.8457 0.8457  1 Ru 2.31, 4 Ga 2.56
Ga4 0.8457 0.1543 0.1543  1 Ru 2.31, 4 Ga 2.56
Ga5 0.8457 0.1543 0.8457  1 Ru 2.31, 4 Ga 2.56
Ga6 0.8457 0.8457 0.1543  1 Ru 2.31, 4 Ga 2.56
Ru1 0.3511 0.3511 0.6489  1 Ga 2.31, 4 Ru 2.47
Ru2 0.3511 0.6489 0.3511  1 Ga 2.31, 4 Ru 2.47
Ru3 0.3511 0.6489 0.6489  1 Ga 2.31, 4 Ru 2.47
Ru4 0.6489 0.3511 0.3511  1 Ga 2.31, 4 Ru 2.47
Ru5 0.6489 0.3511 0.6489  1 Ga 2.31, 4 Ru 2.47
Ru6 0.6489 0.6489 0.3511  1 Ga 2.31, 4 Ru 2.47

=====

Record 10
Crystalline Sm4Ga12Ru at its relaxed geometry. Source: Alexandria via LeMat-Bulk, functional PBE.

N(E_F) in states/eV per atom: 0.754
E in eV for the cell shown: -74.41
ΔH_f (0 K) in eV/atom: -0.584

a b c (Å): 7.5532 7.5532 7.5532
angles (deg): 109.47 109.47 109.47
Last column: nearest neighbours and their distance in Å.
Atoms (fractional coordinates):
Sm1 0.0000 0.0000 0.5000  12 Ga 3.08-3.10
Sm2 0.0000 0.5000 0.0000  12 Ga 3.08-3.10
Sm3 0.5000 0.0000 0.0000  12 Ga 3.08-3.10
Sm4 0.5000 0.5000 0.5000  12 Ga 3.08-3.10
Ga1 0.0000 0.2894 0.2894  1 Ru 2.52
Ga2 0.0000 0.7106 0.7106  1 Ru 2.52
Ga3 0.2500 0.5000 0.7500  8 Ga 2.85-3.08, 4 Sm 3.08
Ga4 0.2500 0.7500 0.5000  8 Ga 2.85-3.08, 4 Sm 3.08
Ga5 0.2894 0.0000 0.2894  1 Ru 2.52
Ga6 0.2894 0.2894 0.0000  1 Ru 2.52
Ga7 0.5000 0.2500 0.7500  8 Ga 2.85-3.08, 4 Sm 3.08
Ga8 0.5000 0.7500 0.2500  8 Ga 2.85-3.08, 4 Sm 3.08
Ga9 0.7106 0.0000 0.7106  1 Ru 2.52
Ga10 0.7106 0.7106 0.0000  1 Ru 2.52
Ga11 0.7500 0.2500 0.5000  8 Ga 2.85-3.08, 4 Sm 3.08
Ga12 0.7500 0.5000 0.2500  8 Ga 2.85-3.08, 4 Sm 3.08
Ru1 0.0000 0.0000 0.0000  6 Ga 2.52

=====

Record 11
Crystalline Sm4Ga2Ru at its relaxed geometry. Source: Alexandria via LeMat-Bulk, functional PBE.

N(E_F) in states/eV per atom: 0.716
E in eV for the cell shown: -37.21
ΔH_f (0 K) in eV/atom: -0.429

a b c (Å): 6.0448 6.0448 8.6813
angles (deg): 125.18 125.18 46.52
Last column: nearest neighbours and their distance in Å.
Atoms (fractional coordinates):
Sm1 0.0809 0.0809 0.3745  1 Ru 2.78
Sm2 0.3305 0.3305 0.9531  2 Ru 2.91, 3 Ga 3.06-3.16
Sm3 0.6695 0.6695 0.0469  2 Ru 2.91, 3 Ga 3.06-3.16
Sm4 0.9191 0.9191 0.6255  1 Ru 2.78
Ga1 0.3407 0.3407 0.3248  1 Ga 2.88, 1 Ru 2.98, 4 Sm 3.06-3.17
Ga2 0.6593 0.6593 0.6752  1 Ga 2.88, 1 Ru 2.98, 4 Sm 3.06-3.17
Ru1 0.0000 0.0000 0.0000  6 Sm 2.78-2.91, 2 Ga 2.98

=====

Record 12
Crystalline Sm8GaRu2 at its relaxed geometry. Source: Alexandria via LeMat-Bulk, functional PBE.

N(E_F) in states/eV per atom: 1.052
E in eV for the cell shown: -61.10
ΔH_f (0 K) in eV/atom: -0.160

a b c (Å): 7.9574 7.9574 5.5707
angles (deg): 98.09 98.09 112.60
Last column: nearest neighbours and their distance in Å.
Atoms (fractional coordinates):
Sm1 0.0000 0.0000 0.0000  2 Ru 3.11, 1 Ga 3.25, 3 Sm 3.41
Sm2 0.0526 0.3097 0.6200  2 Ru 2.90-2.93
Sm3 0.1368 0.6205 0.1945  2 Ru 2.91-2.92, 1 Ga 3.20
Sm4 0.3097 0.0526 0.6200  2 Ru 2.90-2.93
Sm5 0.4481 0.7049 0.7690  2 Ru 2.90-2.93
Sm6 0.6205 0.1368 0.1945  2 Ru 2.91-2.92, 1 Ga 3.20
Sm7 0.7049 0.4481 0.7690  2 Ru 2.90-2.93
Sm8 0.7586 0.7586 0.3896  2 Ru 3.11, 1 Ga 3.25, 3 Sm 3.41-3.42
Ga1 0.3796 0.3796 0.1937  4 Sm 3.20-3.25
Ru1 0.0724 0.6857 0.6949  8 Sm 2.90-3.11
Ru2 0.6857 0.0724 0.6949  8 Sm 2.90-3.11